No. 1
## LaSiRh2 (PBE)

Data for a geometry-optimized LaSiRh2 structure.

a = 3.022 Å, b = 3.438 Å, c = 7.035 Å
α = 90.00°, β = 100.14°, γ = 90.00°
Fractional positions:
La 0.000 0.000 0.000
Si 0.000 0.000 0.500
Rh 0.415 0.500 0.684
Rh 0.585 0.500 0.316

Summary:
**SG**: P2/m, No. 10

No. 2
## HfBe3C (PBE)

Data for a geometry-optimized HfBe3C structure.

a = 4.719 Å, b = 4.719 Å, c = 4.719 Å
α = 90.00°, β = 90.00°, γ = 90.00°
Fractional positions:
Hf 0.000 0.000 0.000
Be 0.000 0.000 0.500
Be 0.000 0.500 0.000
Be 0.500 0.000 0.000
C 0.500 0.500 0.500

Summary:
**SG**: Pm-3m, No. 221

No. 3
## Na2ReBr (PBE)

Data for a geometry-optimized Na2ReBr structure.

a = 8.275 Å, b = 8.275 Å, c = 5.810 Å
α = 90.00°, β = 90.00°, γ = 90.00°
Fractional positions:
Na 0.221 0.750 0.125
Na 0.250 0.221 0.875
Na 0.250 0.279 0.375
Na 0.279 0.750 0.625
Na 0.721 0.250 0.625
Na 0.750 0.721 0.375
Na 0.750 0.779 0.875
Na 0.779 0.250 0.125
Re 0.000 0.000 0.500
Re 0.000 0.500 0.750
Re 0.500 0.000 0.250
Re 0.500 0.500 0.000
Br 0.000 0.000 0.000
Br 0.000 0.500 0.250
Br 0.500 0.000 0.750
Br 0.500 0.500 0.500

Summary:
**SG**: I-42d, No. 122

No. 4
## KMnAg2S4 (PBE)

Data for a geometry-optimized KMnAg2S4 structure.

a = 6.549 Å, b = 6.549 Å, c = 8.763 Å
α = 90.00°, β = 90.00°, γ = 90.00°
Fractional positions:
K 0.000 0.000 0.000
K 0.500 0.500 0.500
Mn 0.000 0.000 0.500
Mn 0.500 0.500 0.000
Ag 0.000 0.500 0.250
Ag 0.000 0.500 0.750
Ag 0.500 0.000 0.250
Ag 0.500 0.000 0.750
S 0.187 0.187 0.359
S 0.187 0.813 0.641
S 0.313 0.313 0.859
S 0.313 0.687 0.141
S 0.687 0.313 0.141
S 0.687 0.687 0.859
S 0.813 0.187 0.641
S 0.813 0.813 0.359

Summary:
**SG**: I-42m, No. 121

No. 5
## Nd3DyPu2Te6 (PBE)

Data for a geometry-optimized Nd3DyPu2Te6 structure.

a = 9.970 Å, b = 9.970 Å, c = 8.944 Å
α = 103.42°, β = 103.42°, γ = 25.67°
Fractional positions:
Nd 0.000 0.000 0.000
Nd 0.332 0.332 0.666
Nd 0.668 0.668 0.334
Dy 0.000 0.000 0.500
Pu 0.334 0.334 0.167
Pu 0.666 0.666 0.833
Te 0.163 0.163 0.586
Te 0.168 0.168 0.080
Te 0.500 0.500 0.257
Te 0.500 0.500 0.743
Te 0.832 0.832 0.920
Te 0.837 0.837 0.414

Summary:
**SG**: C2/m, No. 12

No. 6
## PaIO6F2 (PBE)

Data for a geometry-optimized PaIO6F2 structure.

a = 5.717 Å, b = 5.717 Å, c = 5.717 Å
α = 120.05°, β = 119.93°, γ = 90.02°
Fractional positions:
Pa 0.000 0.000 0.000
I 0.500 0.500 0.000
O 0.267 0.267 0.000
O 0.267 0.267 0.534
O 0.267 0.733 0.000
O 0.733 0.267 0.000
O 0.733 0.733 0.000
O 0.733 0.733 0.466
F 0.249 0.749 0.500
F 0.751 0.251 0.500

Summary:
**SG**: Immm, No. 71

No. 7
## Pm4YTmS8 (PBE)

Data for a geometry-optimized Pm4YTmS8 structure.

a = 8.184 Å, b = 8.184 Å, c = 8.184 Å
α = 60.10°, β = 60.10°, γ = 60.10°
Fractional positions:
Pm 0.000 0.000 0.000
Pm 0.377 0.377 0.872
Pm 0.377 0.872 0.377
Pm 0.872 0.377 0.377
Y 0.377 0.377 0.377
Tm 0.751 0.751 0.751
S 0.133 0.133 0.133
S 0.138 0.138 0.598
S 0.138 0.598 0.138
S 0.138 0.618 0.618
S 0.598 0.138 0.138
S 0.618 0.138 0.618
S 0.618 0.618 0.138
S 0.623 0.623 0.623

Summary:
**SG**: R3m, No. 160

No. 8
## TbErHgPt (PBE)

Data for a geometry-optimized TbErHgPt structure.

a = 3.562 Å, b = 3.562 Å, c = 7.371 Å
α = 90.00°, β = 90.00°, γ = 90.00°
Fractional positions:
Tb 0.000 0.000 0.000
Er 0.000 0.000 0.550
Hg 0.500 0.500 0.280
Pt 0.500 0.500 0.767

Summary:
**SG**: P4mm, No. 99

No. 9
## Ho5Er4 (PBE)

Data for a geometry-optimized Ho5Er4 structure.

a = 7.844 Å, b = 7.844 Å, c = 4.951 Å
α = 108.34°, β = 108.34°, γ = 84.29°
Fractional positions:
Ho 0.000 0.000 0.000
Ho 0.333 0.333 0.333
Ho 0.333 0.667 0.000
Ho 0.667 0.333 0.000
Ho 0.667 0.667 0.667
Er 0.000 0.333 0.667
Er 0.000 0.667 0.333
Er 0.333 0.000 0.667
Er 0.667 0.000 0.333

Summary:
**SG**: C2/m, No. 12

No. 10
## BaYSb (PBE)

Data for a geometry-optimized BaYSb structure.

a = 7.877 Å, b = 7.877 Å, c = 7.877 Å
α = 90.00°, β = 90.00°, γ = 90.00°
Fractional positions:
Ba 0.000 0.000 0.000
Ba 0.000 0.500 0.500
Ba 0.500 0.000 0.500
Ba 0.500 0.500 0.000
Y 0.250 0.250 0.250
Y 0.250 0.750 0.750
Y 0.750 0.250 0.750
Y 0.750 0.750 0.250
Sb 0.250 0.250 0.750
Sb 0.250 0.750 0.250
Sb 0.750 0.250 0.250
Sb 0.750 0.750 0.750

Summary:
**SG**: F-43m, No. 216

No. 11
## SrSbSeBr2 (PBE)

Data for a geometry-optimized SrSbSeBr2 structure.

a = 5.574 Å, b = 5.574 Å, c = 5.705 Å
α = 90.00°, β = 90.00°, γ = 90.00°
Fractional positions:
Sr 0.000 0.000 0.000
Sb 0.500 0.500 0.500
Se 0.500 0.500 0.000
Br 0.000 0.500 0.500
Br 0.500 0.000 0.500

Summary:
**SG**: P4/mmm, No. 123

No. 12
## SmBiRh (PBE)

Data for a geometry-optimized SmBiRh structure.

a = 7.390 Å, b = 4.758 Å, c = 8.050 Å
α = 90.00°, β = 90.00°, γ = 90.00°
Fractional positions:
Sm 0.013 0.250 0.197
Sm 0.487 0.750 0.697
Sm 0.513 0.250 0.303
Sm 0.987 0.750 0.803
Bi 0.184 0.250 0.591
Bi 0.316 0.750 0.091
Bi 0.684 0.250 0.909
Bi 0.816 0.750 0.409
Rh 0.209 0.750 0.421
Rh 0.291 0.250 0.921
Rh 0.709 0.750 0.079
Rh 0.791 0.250 0.579

Summary:
**SG**: Pnma, No. 62

Total DFT energy (no corrections) (eV per atom)
-6.8269 -2.9630 -3.2395 -4.4806 -6.8419 -5.6359 -6.4172 -4.7553 -4.5491 -3.9033 -3.2578 -6.0472